No. 1
Crystalline ZnTcAg4 at its relaxed geometry. Source: Alexandria via LeMat-Bulk, functional PBE.

Properties
Its final energy is -3.22 eV per atom. Its energy of formation is 3.72 eV/f.u.

Cell lengths 7.627, 7.627, 7.627 Å; angles 90.00, 90.00, 90.00 degrees
Space group F-43m (No. 216)
Unique sites:
Zn 0.000 0.000 0.000 x4
Tc 0.250 0.250 0.250 x4
Ag 0.125 0.125 0.625 x16



No. 2
Crystalline TbPr2In at its relaxed geometry. Source: Alexandria via LeMat-Bulk, functional PBE.

Properties
Its final energy is -4.16 eV per atom. Its energy of formation is 0.29 eV/f.u.

Cell lengths 3.5330, 3.5330, 36.7916 Å; angles 90.00, 90.00, 120.00 degrees
Space group R-3m (No. 166, hexagonal axes)
Unique sites:
Tb 0.0000 0.0000 0.0000 x3
Pr 0.0000 0.0000 0.0936 x6
In 0.0000 0.0000 0.5000 x3



No. 3
Crystalline La12Cu3O5 at its relaxed geometry. Source: Alexandria via LeMat-Bulk, functional PBE.

Properties
Its final energy is -6.19 eV per atom. The raw formation energy comes out at -133.5 kJ/mol of atoms.

Cell lengths 16.100, 16.100, 16.100 Å; angles 90.00, 90.00, 90.00 degrees
Space group Ia-3d (No. 230)
Unique sites:
La 0.036 0.055 0.649 x96
Cu 0.000 0.250 0.125 x24
O 0.000 0.000 0.000 x16
O 0.000 0.250 0.375 x24



No. 4
Crystalline TbMg4Cu at its relaxed geometry. Source: Alexandria via LeMat-Bulk, functional PBE.

Properties
Its final energy is -2.63 eV per atom. Its energy of formation is -0.65 eV/f.u.

Cell lengths 8.522, 4.255, 7.356 Å; angles 90.00, 90.00, 90.00 degrees
Space group Pmma (No. 51)
Unique sites:
Tb 0.250 0.000 0.098 x2
Mg 0.000 0.000 0.500 x2
Mg 0.061 0.500 0.806 x4
Mg 0.250 0.500 0.445 x2
Cu 0.250 0.000 0.706 x2



No. 5
Crystalline K2LaMo at its relaxed geometry. Source: Alexandria via LeMat-Bulk, functional PBE.

Properties
Its final energy is -3.77 eV per atom. Its energy of formation is 2.86 eV/f.u.

Cell lengths 21.876, 3.411, 4.577 Å; angles 90.00, 101.79, 90.00 degrees
Space group C2/m (No. 12)
Unique sites:
K 0.155 0.000 0.150 x4
La 0.000 0.000 0.500 x2
Mo 0.000 0.500 0.000 x2



No. 6
Crystalline CuIrSBr2 at its relaxed geometry. Source: Alexandria via LeMat-Bulk, functional PBE.

Properties
Its final energy is -3.12 eV per atom. The raw formation energy comes out at 93.2 kJ/mol of atoms.

Cell lengths 5.507, 5.507, 4.274 Å; angles 90.00, 90.00, 90.00 degrees
Space group P4/mmm (No. 123)
Unique sites:
Cu 0.000 0.000 0.000 x1
Ir 0.500 0.500 0.000 x1
S 0.500 0.500 0.500 x1
Br 0.000 0.500 0.500 x2



No. 7
Crystalline Sr2NiSn4Au3 at its relaxed geometry. Source: Alexandria via LeMat-Bulk, functional PBE.

Properties
Its final energy is -4.00 eV per atom. Its energy of formation is -4.96 eV/f.u.

Cell lengths 4.628, 4.628, 11.679 Å; angles 90.00, 90.00, 90.00 degrees
Space group P-4m2 (No. 115)
Unique sites:
Sr 0.000 0.500 0.236 x2
Ni 0.500 0.500 0.000 x1
Sn 0.000 0.000 0.500 x1
Sn 0.000 0.500 0.882 x2
Sn 0.500 0.500 0.500 x1
Au 0.000 0.000 0.000 x1
Au 0.000 0.500 0.648 x2



No. 8
Crystalline Pm2Al5Pd at its relaxed geometry. Source: Alexandria via LeMat-Bulk, functional PBE.

Properties
Its final energy is -4.54 eV per atom. Its energy of formation is -2.88 eV/f.u.

Cell lengths 6.228, 6.228, 4.656 Å; angles 90.00, 90.00, 90.00 degrees
Space group P4/mmm (No. 123)
Unique sites:
Pm 0.000 0.500 0.000 x2
Al 0.000 0.000 0.000 x1
Al 0.287 0.287 0.500 x4
Pd 0.000 0.000 0.500 x1